Record 1
Zr3Cu3C: relaxed, GGA-PBE.

abc: 12.024 12.024 12.024
angles: 90.00 90.00 90.00
Space group Fd-3m (No. 227, origin choice 2)
Inequivalent atoms, fractional coordinates:
1 Zr 0.069 0.375 0.375 (multiplicity 48)
2 Cu 0.000 0.000 0.500 (multiplicity 16)
3 Cu 0.046 0.046 0.704 (multiplicity 32)
4 C 0.000 0.000 0.000 (multiplicity 16)

Properties
calculated formation energy	-0.36	eV/atom
V	15.521	A^3/atom
final energy	-7.093	eV per atom



Record 2
YEr2Zn: relaxed, GGA-PBE.

abc: 4.718 4.718 4.738
angles: 90.00 90.00 90.00
Space group P4/mmm (No. 123)
Inequivalent atoms, fractional coordinates:
1 Y 0.000 0.000 0.000 (multiplicity 1)
2 Er 0.000 0.500 0.500 (multiplicity 2)
3 Zn 0.500 0.500 0.000 (multiplicity 1)

Properties
calculated formation energy	-0.03	eV/atom
V	26.363	A^3/atom
final energy	-4.241	eV per atom
excess energy over the best structure of this formula in the dataset	0.1409	eV/atom



Record 3
Tm2NiB2Ir5: relaxed, GGA-PBE.

abc: 9.457 9.457 3.149
angles: 90.00 90.00 90.00
Space group P4/mbm (No. 127)
Inequivalent atoms, fractional coordinates:
1 Tm 0.177 0.323 0.000 (multiplicity 4)
2 Ni 0.000 0.000 0.000 (multiplicity 2)
3 B 0.124 0.624 0.000 (multiplicity 4)
4 Ir 0.000 0.500 0.500 (multiplicity 2)
5 Ir 0.068 0.783 0.500 (multiplicity 8)

Properties
calculated formation energy	-0.62	eV/atom
V	14.082	A^3/atom
final energy	-7.857	eV per atom



Record 4
ThInGeAu: relaxed, GGA-PBE.

abc: 7.186 7.186 7.186
angles: 90.00 90.00 90.00
Space group F-43m (No. 216)
Inequivalent atoms, fractional coordinates:
1 Th 0.000 0.000 0.000 (multiplicity 4)
2 In 0.000 0.000 0.500 (multiplicity 4)
3 Ge 0.250 0.250 0.750 (multiplicity 4)
4 Au 0.250 0.250 0.250 (multiplicity 4)

Properties
calculated formation energy	-0.41	eV/atom
V	23.197	A^3/atom
final energy	-4.919	eV per atom



> Which value of calculated formation energy does entry 2 give?

-0.03 eV/atom



> The highest calculated formation energy belongs to which entry?

YEr2Zn